Record 1
Crystalline KLiHfO3 at its relaxed geometry, computed with PBE.

Cell lengths 3.266, 6.292, 8.381 Å; angles 90.00, 90.00, 105.04 degrees
Positions (direct):
K (0.277, 0.554, 0.250)
O (0.608, 0.216, 0.460)
O (0.392, 0.784, 0.960)
O (0.392, 0.784, 0.540)
O (0.029, 0.057, 0.750)
K (0.723, 0.446, 0.750)
O (0.971, 0.943, 0.250)
Hf (0.000, 0.000, 0.500)
Li (0.444, 0.888, 0.750)
O (0.608, 0.216, 0.040)
Li (0.556, 0.112, 0.250)
Hf (0.000, 0.000, 0.000)

total DFT energy (no corrections)	-7.284	eV/atom
crystal system	orthorhombic

***

Record 2
Crystalline K2LiHfO4 at its relaxed geometry, computed with PBE.

Cell lengths 5.848, 5.570, 5.570 Å; angles 74.01, 58.34, 58.34 degrees
Each line ends with the local moment (μB).
Positions (direct):
O (0.382, 0.697, 0.000)  0.21
Hf (0.000, 0.000, 0.000)  -0.04
O (0.618, 0.000, 0.303)  0.21
K (0.500, 0.500, 0.500)  0.00
O (0.079, 0.303, 0.000)  0.21
O (0.921, 0.000, 0.697)  0.21
K (0.000, 0.500, 0.500)  0.00
Li (0.500, 0.000, 0.000)  0.00

total DFT energy (no corrections)	-6.182	eV/atom
crystal system	tetragonal

***

Computed spin magnetization (μB per cell) in order:
0.00 1.01